VASP calculation (PBE) on crystalline NaYNb2Te at its relaxed geometry.

The density of states at the Fermi level is 5.67 states/eV/f.u. As for the symmetry: P4/mmm, No. 123. Its uncorrected formation energy is 1.59 eV per atom.

Lattice parameters (Å, degrees): 5.025 5.025 5.595 90.00 90.00 90.00
Atoms (fractional coordinates):
Na  0.000  0.000  0.000
Y  0.000  0.000  0.500
Nb  0.000  0.500  0.500
Nb  0.500  0.000  0.500
Te  0.500  0.500  0.000